(1)
Compound: Ba2TaNb
Source: the Alexandria database
Functional: PBE
Structure: relaxed

Its space group is Fm-3m, No. 225. The density of states at the Fermi level comes out at 5.30 states/eV/f.u. The value obtained for the total moment is 0.00 μB/cell. The calculation puts the energy above the most stable polymorph in this dataset at 0.0 meV per atom. Its total DFT energy (no corrections) is -19.3 eV per cell.

Cell: 5.439 5.439 5.439 Å, 60.00 60.00 60.00°
Sites, in units of the cell vectors:
Ba  0.250  0.250  0.250
Ba  0.750  0.750  0.750
Ta  0.000  0.000  0.000
Nb  0.500  0.500  0.500

***

(2)
Compound: BaTaNb2
Source: the Alexandria database
Functional: PBE
Structure: relaxed

Its space group is I-42d, No. 122. The density of states at the Fermi level comes out at 4.55 states/eV/f.u. The value obtained for the total moment is 0.00 μB/cell. The calculation puts the energy above the most stable polymorph in this dataset at 356.8 meV per atom. Its total DFT energy (no corrections) is -56.6 eV per cell.

Cell: 10.104 10.104 10.104 Å, 150.62 150.62 42.04°
Sites, in units of the cell vectors:
Ba  0.000  0.000  0.000
Ba  0.750  0.250  0.500
Ta  0.250  0.750  0.500
Ta  0.500  0.500  0.000
Nb  0.329  0.125  0.704
Nb  0.375  0.671  0.796
Nb  0.421  0.625  0.296
Nb  0.875  0.579  0.204